[1]
The following is a GGA-PBEsol calculation of a relaxed Na15Cr7N19 crystal, from Alexandria via LeMat-Bulk.

The raw formation energy comes out at -0.424 eV/atom. The space group is P-1.

Geometry as CIF:
```
data_Na15Cr7N19
_chemical_formula_sum 'Na30 Cr14 N38'
_cell_length_a 5.874
_cell_length_b 11.126
_cell_length_c 17.673
_cell_angle_alpha 90.98
_cell_angle_beta 93.67
_cell_angle_gamma 101.07
_space_group_name_H-M_alt 'P 1'
_space_group_IT_number 1
loop_
_space_group_symop_operation_xyz
'x,y,z'
loop_
_atom_site_label
_atom_site_type_symbol
_atom_site_fract_x
_atom_site_fract_y
_atom_site_fract_z
Na1 Na 0.521 0.622 0.446
Na2 Na 0.479 0.378 0.554
Na3 Na 0.604 0.141 0.642
Na4 Na 0.396 0.859 0.358
Na5 Na 0.720 0.018 0.198
Na6 Na 0.280 0.982 0.802
Na7 Na 0.922 0.028 0.396
Na8 Na 0.078 0.972 0.604
Na9 Na 0.838 0.780 0.293
Na10 Na 0.162 0.220 0.707
Na11 Na 0.870 0.171 0.841
Na12 Na 0.130 0.829 0.159
Na13 Na 0.857 0.905 0.899
Na14 Na 0.143 0.095 0.101
Na15 Na 0.721 0.082 0.011
Na16 Na 0.279 0.918 0.989
Na17 Na 0.594 0.893 0.535
Na18 Na 0.406 0.107 0.465
Na19 Na 0.663 0.491 0.293
Na20 Na 0.337 0.509 0.707
Na21 Na 0.956 0.343 0.012
Na22 Na 0.044 0.657 0.988
Na23 Na 0.856 0.663 0.798
Na24 Na 0.144 0.337 0.202
Na25 Na 0.768 0.260 0.367
Na26 Na 0.232 0.740 0.633
Na27 Na 0.577 0.366 0.839
Na28 Na 0.423 0.634 0.161
Na29 Na 0.000 0.500 0.500
Na30 Na 0.500 0.500 0.000
Cr1 Cr 0.602 0.262 0.132
Cr2 Cr 0.398 0.738 0.868
Cr3 Cr 0.821 0.399 0.690
Cr4 Cr 0.179 0.601 0.310
Cr5 Cr 0.734 0.659 0.613
Cr6 Cr 0.266 0.341 0.387
Cr7 Cr 0.997 0.775 0.456
Cr8 Cr 0.003 0.225 0.544
Cr9 Cr 0.890 0.553 0.139
Cr10 Cr 0.110 0.447 0.861
Cr11 Cr 0.671 0.904 0.721
Cr12 Cr 0.329 0.096 0.279
Cr13 Cr 0.678 0.796 0.051
Cr14 Cr 0.322 0.204 0.949
N1 N 0.837 0.204 0.125
N2 N 0.163 0.796 0.875
N3 N 0.916 0.325 0.615
N4 N 0.084 0.675 0.385
N5 N 0.560 0.059 0.324
N6 N 0.440 0.941 0.676
N7 N 0.576 0.818 0.802
N8 N 0.424 0.182 0.198
N9 N 0.673 0.420 0.156
N10 N 0.327 0.580 0.844
N11 N 0.541 0.398 0.415
N12 N 0.459 0.602 0.585
N13 N 0.789 0.106 0.519
N14 N 0.211 0.894 0.481
N15 N 0.905 0.685 0.535
N16 N 0.095 0.315 0.465
N17 N 0.922 0.900 0.050
N18 N 0.078 0.100 0.950
N19 N 0.765 0.823 0.420
N20 N 0.235 0.177 0.580
N21 N 0.780 0.798 0.660
N22 N 0.220 0.202 0.340
N23 N 0.900 0.485 0.907
N24 N 0.100 0.515 0.093
N25 N 0.553 0.758 0.957
N26 N 0.447 0.242 0.043
N27 N 0.758 0.657 0.089
N28 N 0.242 0.343 0.911
N29 N 0.886 0.025 0.743
N30 N 0.114 0.975 0.257
N31 N 0.996 0.622 0.227
N32 N 0.004 0.378 0.773
N33 N 0.851 0.555 0.673
N34 N 0.149 0.445 0.327
N35 N 0.550 0.339 0.705
N36 N 0.450 0.661 0.295
N37 N 0.487 0.847 0.104
N38 N 0.513 0.153 0.896
```


[2]
The following is a GGA-PBEsol calculation of a relaxed LaHf2B crystal, from Alexandria via LeMat-Bulk.

The formation enthalpy at 0 K is 280 kJ/mol of formula units. The space group is I-42d.

Geometry as CIF:
```
data_LaHf2B
_chemical_formula_sum 'La2 Hf4 B2'
_cell_length_a 6.707
_cell_length_b 6.707
_cell_length_c 6.707
_cell_angle_alpha 92.07
_cell_angle_beta 118.81
_cell_angle_gamma 118.81
_space_group_name_H-M_alt 'P 1'
_space_group_IT_number 1
loop_
_space_group_symop_operation_xyz
'x,y,z'
loop_
_atom_site_label
_atom_site_type_symbol
_atom_site_fract_x
_atom_site_fract_y
_atom_site_fract_z
B1 B 0.000 0.500 0.500
B2 B 0.500 0.250 0.750
Hf1 Hf 0.815 0.440 0.125
Hf2 Hf 0.185 0.310 0.625
Hf3 Hf 0.685 0.375 0.560
Hf4 Hf 0.315 0.875 0.690
La1 La 0.000 0.000 0.000
La2 La 0.500 0.750 0.250
```


[3]
The following is a GGA-PBEsol calculation of a relaxed Y2ScMn crystal, from Alexandria via LeMat-Bulk.

The formation enthalpy at 0 K is 97 kJ/mol of formula units. The space group is P4/mmm.

Geometry as CIF:
```
data_Y2ScMn
_chemical_formula_sum 'Y2 Sc1 Mn1'
_cell_length_a 4.035
_cell_length_b 4.848
_cell_length_c 4.848
_cell_angle_alpha 90.00
_cell_angle_beta 90.00
_cell_angle_gamma 90.00
_space_group_name_H-M_alt 'P 1'
_space_group_IT_number 1
loop_
_space_group_symop_operation_xyz
'x,y,z'
loop_
_atom_site_label
_atom_site_type_symbol
_atom_site_fract_x
_atom_site_fract_y
_atom_site_fract_z
Mn1 Mn 0.500 0.500 0.500
Sc1 Sc 0.500 0.000 0.000
Y1 Y 0.000 0.000 0.500
Y2 Y 0.000 0.500 0.000
```